# PBE La4Sb3S, optimized geometry
data_La4Sb3S
_cell_length_a 7.8249
_cell_length_b 9.0569
_cell_length_c 7.8283
_cell_angle_alpha 90.00
_cell_angle_beta 109.50
_cell_angle_gamma 90.00
_space_group_name_H-M_alt 'P 1 2/c 1'
_space_group_IT_number 13
_space_group_name_Hall '-P 2yc'
loop_
_atom_site_label
_atom_site_type_symbol
_atom_site_fract_x
_atom_site_fract_y
_atom_site_fract_z
La1 La 0.2388 0.1187 0.0018
La2 La 0.2454 0.3689 0.4931
Sb1 Sb 0.0000 0.3729 0.7500
Sb2 Sb 0.5000 0.1241 0.7500
Sb3 Sb 0.5000 0.3736 0.2500
S1 S 0.0000 0.1216 0.2500
# Density: 6.05 g cm⁻³
# Formation energy without anion corrections: -1.47 eV per atom
# Final energy: -6.000 eV/atom

# PBE KNpO2F8, optimized geometry
data_KNpO2F8
_cell_length_a 5.6027
_cell_length_b 5.6027
_cell_length_c 8.0252
_cell_angle_alpha 90.00
_cell_angle_beta 90.00
_cell_angle_gamma 120.00
_space_group_name_H-M_alt 'P -3 m 1'
_space_group_IT_number 164
_space_group_name_Hall '-P 3 2"'
loop_
_atom_site_label
_atom_site_type_symbol
_atom_site_fract_x
_atom_site_fract_y
_atom_site_fract_z
K1 K 0.0000 0.0000 0.0000
Np1 Np 0.0000 0.0000 0.5000
O1 O 0.3333 0.6667 0.1221
F1 F 0.1652 0.3303 0.6543
F2 F 0.3333 0.6667 0.9458
# Density: 3.50 g cm⁻³
# Formation energy without anion corrections: -1.96 eV per atom
# Final energy: -5.201 eV/atom

# PBE BaNaSr3Sb3O12, optimized geometry
data_BaNaSr3Sb3O12
_cell_length_a 11.6174
_cell_length_b 11.8300
_cell_length_c 8.2343
_cell_angle_alpha 90.00
_cell_angle_beta 90.00
_cell_angle_gamma 90.00
_space_group_name_H-M_alt 'C 2 2 21'
_space_group_IT_number 20
_space_group_name_Hall 'C 2c 2'
loop_
_atom_site_label
_atom_site_type_symbol
_atom_site_fract_x
_atom_site_fract_y
_atom_site_fract_z
Ba1 Ba 0.0000 0.0025 0.2500
Na1 Na 0.2495 0.0000 0.5000
Sr1 Sr 0.0000 0.4937 0.7500
Sr2 Sr 0.2469 0.2507 0.7528
Sb1 Sb 0.0008 0.2539 0.0004
Sb2 Sb 0.2473 0.5000 0.5000
O1 O 0.0000 0.2216 0.7500
O2 O 0.0000 0.2898 0.2500
O3 O 0.1175 0.3648 0.9638
O4 O 0.1187 0.1438 0.4700
O5 O 0.1225 0.3785 0.5437
O6 O 0.1284 0.1293 0.0358
O7 O 0.2480 0.4660 0.2727
# Density: 5.75 g cm⁻³
# Formation energy without anion corrections: -2.13 eV per atom
# Final energy: -6.139 eV/atom

# PBE CaPaNiPt, optimized geometry
data_CaPaNiPt
_cell_length_a 6.8931
_cell_length_b 6.8931
_cell_length_c 6.8931
_cell_angle_alpha 90.00
_cell_angle_beta 90.00
_cell_angle_gamma 90.00
_space_group_name_H-M_alt 'F -4 3 m'
_space_group_IT_number 216
_space_group_name_Hall 'F -4 2 3'
loop_
_atom_site_label
_atom_site_type_symbol
_atom_site_fract_x
_atom_site_fract_y
_atom_site_fract_z
Ca1 Ca 0.0000 0.0000 0.0000
Pa1 Pa 0.0000 0.0000 0.5000
Ni1 Ni 0.2500 0.2500 0.2500
Pt1 Pt 0.2500 0.2500 0.7500
# DFT formation energy: -0.439 eV per atom
# Density: 10.64 g cm⁻³
# Final energy: -6.269 eV/atom

# PBE Np2ScO7, optimized geometry
data_Np2ScO7
_cell_length_a 3.7864
_cell_length_b 3.7864
_cell_length_c 29.5317
_cell_angle_alpha 90.00
_cell_angle_beta 90.00
_cell_angle_gamma 120.00
_space_group_name_H-M_alt 'R -3 m'
_space_group_IT_number 166
_space_group_name_Hall '-R 3 2"'
loop_
_atom_site_label
_atom_site_type_symbol
_atom_site_fract_x
_atom_site_fract_y
_atom_site_fract_z
Np1 Np 0.0000 0.0000 0.0699
Sc1 Sc 0.0000 0.0000 0.5000
O1 O 0.0000 0.0000 0.0000
O2 O 0.0000 0.0000 0.1416
O3 O 0.0000 0.0000 0.2787
O4 O 0.0000 0.0000 0.4269
# Density: 8.57 g cm⁻³
# Formation energy without anion corrections: -2.92 eV per atom
# Final energy: -9.607 eV/atom

# PBE Ca2NdEu, optimized geometry
data_Ca2NdEu
_cell_length_a 3.6894
_cell_length_b 3.6894
_cell_length_c 40.8629
_cell_angle_alpha 90.00
_cell_angle_beta 90.00
_cell_angle_gamma 120.00
_space_group_name_H-M_alt 'R -3 m'
_space_group_IT_number 166
_space_group_name_Hall '-R 3 2"'
loop_
_atom_site_label
_atom_site_type_symbol
_atom_site_fract_x
_atom_site_fract_y
_atom_site_fract_z
Ca1 Ca 0.0000 0.0000 0.0867
Nd1 Nd 0.0000 0.0000 0.0000
Eu1 Eu 0.0000 0.0000 0.5000
# DFT formation energy: 0.195 eV per atom
# Density: 3.89 g cm⁻³
# Final energy: -4.566 eV/atom